A plane-wave DFT calculation with GGA-PBEsol was carried out for a relaxed structure of NbB2SbRu.

abc: 4.2409 4.2409 4.8370
angles: 90.00 90.00 90.00
Fractional positions:
1 Sb 0.5000 0.5000 0.5000
2 Nb 0.0000 0.0000 0.0000
3 B 0.0000 0.5000 0.0000
4 B 0.5000 0.0000 0.0000
5 Ru 0.0000 0.0000 0.5000

Computed properties:
M_tot   0.00 Bohr magnetons per cell
ΔE_f (raw)   1.534 eV/atom